Run a
DFT (PBE) results for an optimized crystal structure of Sr2Mg3Cd4.

It has space group Fmmm (No. 69), with a = 6.052 Å, b = 10.691 Å, c = 15.306 Å, α = 90.00°, β = 90.00° and γ = 90.00°. The distinct sites, in fractional coordinates, are Sr at (0.000, 0.000, 0.140), Mg at (0.000, 0.000, 0.500), Mg at (0.250, 0.250, 0.000) and Cd at (0.000, 0.170, 0.334).

---

Run b
DFT (PBE) results for an optimized crystal structure of Sr2Mg3Cd4.

It has space group Cmce (No. 64), with a = 6.411 Å, b = 17.615 Å, c = 8.761 Å, α = 90.00°, β = 90.00° and γ = 90.00°. The distinct sites, in fractional coordinates, are Sr at (0.000, 0.106, 0.096), Mg at (0.000, 0.000, 0.500), Mg at (0.250, 0.229, 0.750), Cd at (0.000, 0.177, 0.479) and Cd at (0.250, 0.063, 0.750).

---

What should be chosen as the least stable of them? Choose run a.

---

Run a
DFT (PBE) results for an optimized crystal structure of Sr2Mg2Cd.

It has space group C2/m (No. 12), with a = 12.171 Å, b = 5.172 Å, c = 12.330 Å, α = 90.00°, β = 117.66° and γ = 90.00°. The distinct sites, in fractional coordinates, are Sr at (0.010, 0.000, 0.333), Sr at (0.196, 0.000, 0.113), Mg at (0.007, 0.500, 0.881), Mg at (0.149, 0.500, 0.555) and Cd at (0.227, 0.500, 0.348).

---

Run b
DFT (PBE) results for an optimized crystal structure of Sr2Mg2Cd.

It has space group P4/mbm (No. 127), with a = 9.275 Å, b = 9.275 Å, c = 4.497 Å, α = 90.00°, β = 90.00° and γ = 90.00°. The distinct sites, in fractional coordinates, are Sr at (0.167, 0.333, 0.000), Mg at (0.124, 0.624, 0.500) and Cd at (0.000, 0.000, 0.000).

---

What should be chosen as the least stable of them? Choose run b.

---

Run a
DFT (PBE) results for an optimized crystal structure of Sr2Mg2Cd.

It has space group C2/c (No. 15), with a = 11.696 Å, b = 7.254 Å, c = 8.360 Å, α = 90.00°, β = 109.73° and γ = 90.00°. The distinct sites, in fractional coordinates, are Sr at (0.169, 0.085, 0.150), Mg at (0.089, 0.373, 0.452) and Cd at (0.000, 0.283, 0.750).

---

Run b
DFT (PBE) results for an optimized crystal structure of Sr2Mg2Cd.

It has space group P4/mbm (No. 127), with a = 8.106 Å, b = 8.106 Å, c = 5.245 Å, α = 90.00°, β = 90.00° and γ = 90.00°. The distinct sites, in fractional coordinates, are Sr at (0.176, 0.324, 0.000), Mg at (0.131, 0.631, 0.500) and Cd at (0.000, 0.000, 0.500).

---

What should be chosen as the least stable of them? Choose run b.